[1]
Compound: SmZn9Pd3
Source: Alexandria
Functional: PBE
Structure: relaxed

Unit cell a=5.3236 b=12.7868 c=6.7370 alpha=90.00 beta=112.47 gamma=90.00
Space group C2/m (No. 12)
Asymmetric unit:
Sm (0.0000, 0.0000, 0.0000) (multiplicity 2)
Zn (0.0000, 0.5000, 0.5000) (multiplicity 2)
Zn (0.1035, 0.3905, 0.2171) (multiplicity 8)
Zn (0.1625, 0.1763, 0.3469) (multiplicity 8)
Pd (0.0000, 0.0000, 0.5000) (multiplicity 2)
Pd (0.2500, 0.2500, 0.0000) (multiplicity 4)

Results
N(E_F) = 0.438 states/eV/atom

=====

[2]
Compound: SmZn5Pd7
Source: Alexandria
Functional: PBE
Structure: relaxed

Unit cell a=5.2714 b=8.8887 c=8.8491 alpha=90.00 beta=90.00 gamma=90.00
Space group Imm2 (No. 44)
Asymmetric unit:
Sm (0.0000, 0.0000, 0.0000) (multiplicity 2)
Zn (0.0000, 0.5000, 0.2628) (multiplicity 2)
Zn (0.2471, 0.2517, 0.7406) (multiplicity 8)
Pd (0.0000, 0.0000, 0.3387) (multiplicity 2)
Pd (0.0000, 0.0000, 0.6515) (multiplicity 2)
Pd (0.0000, 0.2922, 0.4850) (multiplicity 4)
Pd (0.0000, 0.3429, 0.9956) (multiplicity 4)
Pd (0.0000, 0.5000, 0.7173) (multiplicity 2)

Results
N(E_F) = 0.342 states/eV/atom

=====

[3]
Compound: SmZn6Pd6
Source: Alexandria
Functional: PBE
Structure: relaxed

Unit cell a=5.2286 b=8.8430 c=8.8910 alpha=90.00 beta=90.00 gamma=90.00
Space group Immm (No. 71)
Asymmetric unit:
Sm (0.0000, 0.0000, 0.0000) (multiplicity 2)
Zn (0.0000, 0.2605, 0.5000) (multiplicity 4)
Zn (0.2500, 0.2500, 0.2500) (multiplicity 8)
Pd (0.0000, 0.0000, 0.3417) (multiplicity 4)
Pd (0.0000, 0.3443, 0.0000) (multiplicity 4)
Pd (0.0000, 0.5000, 0.3132) (multiplicity 4)

Results
N(E_F) = 0.405 states/eV/atom

=====

no.,calculated total energy (eV per atom),calculated formation energy (eV/atom)
1,-2.829,-0.39
2,-4.200,-0.55
3,-3.892,-0.54